DFT (PBE) results for a relaxed structure of LiTl2Rh2.

Output
Energy of formation from the pure elements = -0.05 eV per atom
Mass density = 10814 kg/m3
Polymorph energy (0 for the lowest one) = 0 meV per atom
Total magnetization = 0.0000 μB per atom
Crystal system = tetragonal

CIF file:
```
data_LiTl2Rh2
_symmetry_space_group_name_H-M 'P 4/m b m'
_symmetry_Int_Tables_number 127
_symmetry_space_group_name_Hall '-P 4 2ab'
_cell_length_a 7.691
_cell_length_b 7.691
_cell_length_c 3.227
_cell_angle_alpha 90.00
_cell_angle_beta 90.00
_cell_angle_gamma 90.00
loop_
_atom_site_label
_atom_site_fract_x
_atom_site_fract_y
_atom_site_fract_z
Li1 0.000 0.000 0.000
Tl1 0.166 0.334 0.500
Rh1 0.132 0.632 0.000
```

=====

DFT (PBE) results for a relaxed structure of Li7Tl3Rh.

Output
Energy of formation from the pure elements = -0.10 eV per atom
Mass density = 5914 kg/m3
Total magnetization = 0.0000 μB per atom
Crystal system = orthorhombic

CIF file:
```
data_Li7Tl3Rh
_symmetry_space_group_name_H-M 'C m c m'
_symmetry_Int_Tables_number 63
_symmetry_space_group_name_Hall '-C 2c 2'
_cell_length_a 2.975
_cell_length_b 18.992
_cell_length_c 15.200
_cell_angle_alpha 90.00
_cell_angle_beta 90.00
_cell_angle_gamma 90.00
loop_
_atom_site_label
_atom_site_fract_x
_atom_site_fract_y
_atom_site_fract_z
Li1 0.000 0.012 0.105
Li2 0.000 0.105 0.250
Li3 0.000 0.113 0.668
Li4 0.000 0.248 0.585
Tl1 0.000 0.263 0.250
Tl2 0.000 0.382 0.502
Rh1 0.000 0.484 0.250
```

=====

DFT (PBE) results for a relaxed structure of Li3Tl2Rh.

Output
Energy of formation from the pure elements = -0.15 eV per atom
Mass density = 7564 kg/m3
Polymorph energy (0 for the lowest one) = 0 meV per atom
Total magnetization = 0.0000 μB per atom
Crystal system = orthorhombic

CIF file:
```
data_Li3Tl2Rh
_symmetry_space_group_name_H-M 'I b a m'
_symmetry_Int_Tables_number 72
_symmetry_space_group_name_Hall '-I 2 2c'
_cell_length_a 5.657
_cell_length_b 13.991
_cell_length_c 5.907
_cell_angle_alpha 90.00
_cell_angle_beta 90.00
_cell_angle_gamma 90.00
loop_
_atom_site_label
_atom_site_fract_x
_atom_site_fract_y
_atom_site_fract_z
Li1 0.000 0.000 0.250
Li2 0.244 0.157 0.000
Tl1 0.234 0.363 0.000
Rh1 0.000 0.500 0.250
```

=====

DFT (PBE) results for a relaxed structure of Li6TlRh.

Output
Energy of formation from the pure elements = -0.13 eV per atom
Mass density = 4415 kg/m3
Polymorph energy (0 for the lowest one) = 0 meV per atom
Total magnetization = 0.0000 μB per atom
Crystal system = orthorhombic

CIF file:
```
data_Li6TlRh
_symmetry_space_group_name_H-M 'A m m 2'
_symmetry_Int_Tables_number 38
_cell_length_a 4.099
_cell_length_b 8.545
_cell_length_c 7.495
_cell_angle_alpha 90.00
_cell_angle_beta 90.00
_cell_angle_gamma 90.00
loop_
_symmetry_equiv_pos_as_xyz
'x,y,z'
'-x,-y,z'
'-x,y,z'
'x,-y,z'
'x,y+1/2,z+1/2'
'-x,-y+1/2,z+1/2'
'-x,y+1/2,z+1/2'
'x,-y+1/2,z+1/2'
loop_
_atom_site_label
_atom_site_fract_x
_atom_site_fract_y
_atom_site_fract_z
Li1 0.000 0.000 0.000
Li2 0.000 0.224 0.762
Li3 0.500 0.000 0.248
Li4 0.500 0.248 0.504
Tl1 0.000 0.000 0.500
Rh1 0.500 0.000 0.766
```

=====

Look up the mass density of the first one.
10814 kg/m3

=====

Which formula does entry 1 have?
LiTl2Rh2

=====

Among the records above, which one has the lowest energy of formation from the pure elements?
Li3Tl2Rh